(1)
DFT (PBE) results for a relaxed structure of InCuS6.

- ΔE_f (raw) (eV per formula unit) = 0.22
- total energy (eV for the cell shown) = -31.38
- size of the total moment (Bohr magnetons per cell) = 0.00

a = 5.177 Å, b = 6.657 Å, c = 10.188 Å
α = 102.02°, β = 53.72°, γ = 70.02°
Element x y z (fractional)
In (0.500, 0.500, 0.500)
Cu (0.000, 0.000, 0.000)
S (0.468, 0.825, 0.684)
S (0.350, 0.153, 0.975)
S (0.960, 0.503, 0.808)
S (0.650, 0.847, 0.025)
S (0.532, 0.175, 0.316)
S (0.040, 0.497, 0.192)

---

(2)
DFT (PBE) results for a relaxed structure of TcAgTeN2.

- ΔE_f (raw) (eV per formula unit) = 2.85
- D(E_F) (states/eV/f.u.) = 2.3
- total energy (eV for the cell shown) = -30.16
- size of the total moment (Bohr magnetons per cell) = 0.00

a = 3.881 Å, b = 3.881 Å, c = 5.805 Å
α = 90.00°, β = 90.00°, γ = 90.00°
Element x y z (fractional)
Te (0.000, 0.000, 0.500)
Tc (0.000, 0.000, 0.000)
Ag (0.500, 0.500, 0.500)
N (0.000, 0.500, 0.000)
N (0.500, 0.000, 0.000)

---

(3)
DFT (PBE) results for a relaxed structure of Ac2MgCd6Cu.

- D(E_F) (states/eV/f.u.) = 5.7
- total energy (eV for the cell shown) = -20.59
- size of the total moment (Bohr magnetons per cell) = 0.00

a = 7.501 Å, b = 7.051 Å, c = 7.533 Å
α = 61.93°, β = 56.18°, γ = 90.01°
Element x y z (fractional)
Ac (0.711, 0.291, 0.417)
Ac (0.289, 0.709, 0.583)
Mg (0.000, 0.000, 0.000)
Cd (0.179, 0.255, 0.488)
Cd (0.748, 0.828, 0.912)
Cd (0.254, 0.741, 0.089)
Cd (0.746, 0.259, 0.911)
Cd (0.252, 0.172, 0.088)
Cd (0.821, 0.745, 0.512)
Cu (0.500, 0.500, 0.000)

---

(4)
DFT (PBE) results for a relaxed structure of Mg2NbCuF.

- ΔE_f (raw) (eV per formula unit) = -1.52
- D(E_F) (states/eV/f.u.) = 3.1
- total energy (eV for the cell shown) = -20.75
- size of the total moment (Bohr magnetons per cell) = 2.51

a = 4.088 Å, b = 4.933 Å, c = 4.088 Å
α = 90.00°, β = 90.00°, γ = 90.00°
Element x y z (fractional)
Nb (0.500, 0.500, 0.500)
Mg (0.000, 0.000, 0.500)
Mg (0.500, 0.000, 0.000)
Cu (0.000, 0.500, 0.000)
F (0.000, 0.000, 0.000)